## a
Material: Cd4In
Method: DFT, GGA-PBE
State: optimized geometry

a b c (Å): 5.7663 5.7663 5.7663
angles (deg): 109.47 109.47 109.47
Sites, in units of the cell vectors:
Cd 0.0000 0.0000 0.5000
Cd 0.0000 0.5000 0.0000
Cd 0.5000 0.0000 0.0000
Cd 0.5000 0.5000 0.5000
In 0.0000 0.0000 0.0000

Summary:
The space group is No. 229. The calculation puts the density of states at the Fermi level at 2.37 states/eV per cell.

## b
Material: Cd4In
Method: DFT, GGA-PBE
State: optimized geometry

a b c (Å): 5.5952 5.5952 5.5952
angles (deg): 99.07 99.07 133.21
Sites, in units of the cell vectors:
Cd 0.0989 0.6971 0.7960
Cd 0.3029 0.0989 0.4018
Cd 0.6971 0.9011 0.5982
Cd 0.9011 0.3029 0.2040
In 0.5000 0.5000 0.0000

Summary:
The space group is No. 87. The calculation puts the density of states at the Fermi level at 2.33 states/eV per cell.

It turns out b is the most stable, with the second structure 188 meV/atom higher.